w.
# Sc2NbI

A relaxed Sc2NbI crystal (GGA-PBE, Alexandria via LeMat-Bulk).

a b c (Å): 10.1144 10.1144 10.1144
angles (deg): 20.21 20.21 20.21
Closest atoms and distances in Å follow each position.
Positions (direct):
I: 0.0000 0.0000 0.0000  2 Sc 2.86
Sc: 0.9038 0.9038 0.9038  1 I 2.86, 3 Nb 2.93
Sc: 0.0962 0.0962 0.0962  1 I 2.86, 3 Nb 2.93
Nb: 0.5000 0.5000 0.5000  6 Sc 2.93

---

x.
# Sc2NbI

A relaxed Sc2NbI crystal (GGA-PBE, Alexandria via LeMat-Bulk).

a b c (Å): 4.9581 4.9581 4.9581
angles (deg): 60.00 60.00 60.00
Closest atoms and distances in Å follow each position.
Positions (direct):
I: 0.5000 0.5000 0.5000  8 Sc 3.04
Sc: 0.2500 0.2500 0.2500  4 I 3.04, 4 Nb 3.04
Sc: 0.7500 0.7500 0.7500  4 I 3.04, 4 Nb 3.04
Nb: 0.0000 0.0000 0.0000  8 Sc 3.04

---

On energetic grounds, w is preferred over the next structure by 141 meV/atom.